Material: VGa2NiO6
Method: DFT, GGA+U
State: optimized geometry

Output
The calculation puts the total energy at -0.4652 Ry/atom. The volume comes out at 222 Å³/cell.

Cell lengths 5.190, 6.594, 6.594 Å; angles 85.92, 82.82, 82.82 degrees
Site moments in Bohr magnetons follow the coordinates.
Fractional positions:
V 0.250 0.261 0.739  1.06
V 0.750 0.739 0.261  1.06
Ga 0.194 0.784 0.598  0.01
Ga 0.306 0.402 0.216  0.01
Ga 0.806 0.216 0.402  0.01
Ga 0.694 0.598 0.784  0.01
Ni 0.250 0.913 0.087  1.77
Ni 0.750 0.087 0.913  1.77
O 0.130 0.981 0.793  0.05
O 0.370 0.207 0.019  0.05
O 0.870 0.019 0.207  0.05
O 0.630 0.793 0.981  0.05
O 0.411 0.846 0.363  -0.01
O 0.089 0.637 0.154  -0.01
O 0.589 0.154 0.637  -0.01
O 0.911 0.363 0.846  -0.01
O 0.867 0.720 0.548  0.00
O 0.633 0.452 0.280  0.00
O 0.133 0.280 0.452  0.00
O 0.367 0.548 0.720  0.00